(1)
PS2IO: optimized geometry, PBE.

The structure in CIF format:
```
data_PS2IO
_symmetry_space_group_name_H-M 'P 1'
_symmetry_Int_Tables_number 1
_cell_length_a 4.9850
_cell_length_b 4.9850
_cell_length_c 5.3933
_cell_angle_alpha 90.00
_cell_angle_beta 90.00
_cell_angle_gamma 90.00
loop_
_symmetry_equiv_pos_as_xyz
'x,y,z'
loop_
_atom_site_label
_atom_site_fract_x
_atom_site_fract_y
_atom_site_fract_z
P1 0.0000 0.0000 0.0000
S1 0.0000 0.5000 0.5000
S2 0.5000 0.0000 0.5000
I1 0.0000 0.0000 0.5000
O1 0.5000 0.5000 0.0000
```

Values from the calculation:
* distance to the lowest polymorph of the same formula: 0.902 eV per atom
* symmetry: P4/mmm

(2)
Ni2PbAu: optimized geometry, PBE.

The structure in CIF format:
```
data_Ni2PbAu
_symmetry_space_group_name_H-M 'P 1'
_symmetry_Int_Tables_number 1
_cell_length_a 3.1544
_cell_length_b 3.1544
_cell_length_c 6.8296
_cell_angle_alpha 90.00
_cell_angle_beta 90.00
_cell_angle_gamma 90.00
loop_
_symmetry_equiv_pos_as_xyz
'x,y,z'
loop_
_atom_site_label
_atom_site_fract_x
_atom_site_fract_y
_atom_site_fract_z
Ni1 0.0000 0.0000 0.0000
Ni2 0.5000 0.5000 0.1626
Pb1 0.0000 0.0000 0.4277
Au1 0.5000 0.5000 0.7759
```

Values from the calculation:
* E_form: 0.8 eV/f.u.
* symmetry: P4mm

(3)
ScPS2I: optimized geometry, PBE.

The structure in CIF format:
```
data_ScPS2I
_symmetry_space_group_name_H-M 'P 1'
_symmetry_Int_Tables_number 1
_cell_length_a 4.8043
_cell_length_b 4.8043
_cell_length_c 5.5258
_cell_angle_alpha 90.00
_cell_angle_beta 90.00
_cell_angle_gamma 90.00
loop_
_symmetry_equiv_pos_as_xyz
'x,y,z'
loop_
_atom_site_label
_atom_site_fract_x
_atom_site_fract_y
_atom_site_fract_z
Sc1 0.0000 0.0000 0.0000
P1 0.0000 0.0000 0.5000
S1 0.0000 0.5000 0.0000
S2 0.5000 0.0000 0.0000
I1 0.5000 0.5000 0.5000
```

Values from the calculation:
* distance to the lowest polymorph of the same formula: 0.000 eV per atom
* symmetry: P4/mmm

(4)
CaY2Si6: optimized geometry, PBE.

The structure in CIF format:
```
data_CaY2Si6
_symmetry_space_group_name_H-M 'P 1'
_symmetry_Int_Tables_number 1
_cell_length_a 7.0927
_cell_length_b 7.0927
_cell_length_c 4.0378
_cell_angle_alpha 90.00
_cell_angle_beta 90.00
_cell_angle_gamma 120.00
loop_
_symmetry_equiv_pos_as_xyz
'x,y,z'
loop_
_atom_site_label
_atom_site_fract_x
_atom_site_fract_y
_atom_site_fract_z
Ca1 0.0000 0.0000 0.0000
Y1 0.3333 0.6667 0.0000
Y2 0.6667 0.3333 0.0000
Si1 0.0000 0.3349 0.5000
Si2 0.0000 0.6651 0.5000
Si3 0.3349 0.0000 0.5000
Si4 0.3349 0.3349 0.5000
Si5 0.6651 0.0000 0.5000
Si6 0.6651 0.6651 0.5000
```

Values from the calculation:
* final energy: -5.719 eV per atom
* symmetry: P6/mmm

(5)
RbScSeBr2: optimized geometry, PBE.

The structure in CIF format:
```
data_RbScSeBr2
_symmetry_space_group_name_H-M 'P 1'
_symmetry_Int_Tables_number 1
_cell_length_a 5.5073
_cell_length_b 5.5073
_cell_length_c 5.1656
_cell_angle_alpha 90.00
_cell_angle_beta 90.00
_cell_angle_gamma 90.00
loop_
_symmetry_equiv_pos_as_xyz
'x,y,z'
loop_
_atom_site_label
_atom_site_fract_x
_atom_site_fract_y
_atom_site_fract_z
Rb1 0.0000 0.0000 0.0000
Sc1 0.5000 0.5000 0.5000
Se1 0.5000 0.5000 0.0000
Br1 0.0000 0.5000 0.5000
Br2 0.5000 0.0000 0.5000
```

Values from the calculation:
* distance to the lowest polymorph of the same formula: 0.000 eV per atom
* symmetry: P4/mmm

(6)
CsTlPt2: optimized geometry, PBE.

The structure in CIF format:
```
data_CsTlPt2
_symmetry_space_group_name_H-M 'P 1'
_symmetry_Int_Tables_number 1
_cell_length_a 7.0572
_cell_length_b 7.0572
_cell_length_c 7.0572
_cell_angle_alpha 39.60
_cell_angle_beta 39.60
_cell_angle_gamma 39.60
loop_
_symmetry_equiv_pos_as_xyz
'x,y,z'
loop_
_atom_site_label
_atom_site_fract_x
_atom_site_fract_y
_atom_site_fract_z
Cs1 0.0000 0.0000 0.0000
Tl1 0.5000 0.5000 0.5000
Pt1 0.1749 0.1749 0.1749
Pt2 0.8251 0.8251 0.8251
```

Values from the calculation:
* E_form: -0.6 eV/f.u.
* symmetry: R-3m

(7)
Tb3CeDy6: optimized geometry, PBE.

The structure in CIF format:
```
data_Tb3CeDy6
_symmetry_space_group_name_H-M 'P 1'
_symmetry_Int_Tables_number 1
_cell_length_a 7.7973
_cell_length_b 7.7973
_cell_length_c 8.8565
_cell_angle_alpha 120.55
_cell_angle_beta 120.55
_cell_angle_gamma 49.07
loop_
_symmetry_equiv_pos_as_xyz
'x,y,z'
loop_
_atom_site_label
_atom_site_fract_x
_atom_site_fract_y
_atom_site_fract_z
Tb1 0.0000 0.0000 0.0000
Tb2 0.4936 0.4936 0.2695
Tb3 0.5064 0.5064 0.7305
Ce1 0.0000 0.0000 0.5000
Dy1 0.0105 0.4962 0.3261
Dy2 0.2093 0.2093 0.9517
Dy3 0.4962 0.0105 0.3261
Dy4 0.5038 0.9895 0.6739
Dy5 0.7907 0.7907 0.0483
Dy6 0.9895 0.5038 0.6739
```

Values from the calculation:
* E_form: 3.5 eV/f.u.
* distance to the lowest polymorph of the same formula: 0.190 eV per atom
* symmetry: C2/m

(8)
Tb3Nd6Sc: optimized geometry, PBE.

The structure in CIF format:
```
data_Tb3Nd6Sc
_symmetry_space_group_name_H-M 'P 1'
_symmetry_Int_Tables_number 1
_cell_length_a 6.9696
_cell_length_b 6.9696
_cell_length_c 6.9696
_cell_angle_alpha 90.82
_cell_angle_beta 90.82
_cell_angle_gamma 90.82
loop_
_symmetry_equiv_pos_as_xyz
'x,y,z'
loop_
_atom_site_label
_atom_site_fract_x
_atom_site_fract_y
_atom_site_fract_z
Tb1 0.0000 0.0000 0.0000
Tb2 0.2543 0.2543 0.2543
Tb3 0.5090 0.5090 0.5090
Nd1 0.0007 0.6747 0.3411
Nd2 0.1685 0.5096 0.8348
Nd3 0.3411 0.0007 0.6747
Nd4 0.5096 0.8348 0.1685
Nd5 0.6747 0.3411 0.0007
Nd6 0.8348 0.1685 0.5096
Sc1 0.7544 0.7544 0.7544
```

Values from the calculation:
* E_form: 2.1 eV/f.u.
* distance to the lowest polymorph of the same formula: 0.073 eV per atom
* symmetry: R3

(9)
Ni2Os: optimized geometry, PBE.

The structure in CIF format:
```
data_Ni2Os
_symmetry_space_group_name_H-M 'P 1'
_symmetry_Int_Tables_number 1
_cell_length_a 6.8493
_cell_length_b 6.8493
_cell_length_c 4.1830
_cell_angle_alpha 90.00
_cell_angle_beta 90.00
_cell_angle_gamma 158.32
loop_
_symmetry_equiv_pos_as_xyz
'x,y,z'
loop_
_atom_site_label
_atom_site_fract_x
_atom_site_fract_y
_atom_site_fract_z
Ni1 0.0538 0.9462 0.7500
Ni2 0.2786 0.7214 0.2500
Ni3 0.7214 0.2786 0.7500
Ni4 0.9462 0.0538 0.2500
Os1 0.3863 0.6137 0.7500
Os2 0.6137 0.3863 0.2500
```

Values from the calculation:
* E_form: 0.4 eV/f.u.
* distance to the lowest polymorph of the same formula: 0.078 eV per atom
* symmetry: Cmcm

(10)
ScCoAs2: optimized geometry, PBE.

The structure in CIF format:
```
data_ScCoAs2
_symmetry_space_group_name_H-M 'P 1'
_symmetry_Int_Tables_number 1
_cell_length_a 6.0237
_cell_length_b 6.0237
_cell_length_c 6.0237
_cell_angle_alpha 147.18
_cell_angle_beta 145.51
_cell_angle_gamma 48.34
loop_
_symmetry_equiv_pos_as_xyz
'x,y,z'
loop_
_atom_site_label
_atom_site_fract_x
_atom_site_fract_y
_atom_site_fract_z
Sc1 0.0000 0.0000 0.0000
Co1 0.2561 0.7561 0.5000
As1 0.4086 0.4086 0.0000
As2 0.6897 0.1897 0.5000
```

Values from the calculation:
* E_form: -2.1 eV/f.u.
* symmetry: Imm2

(11)
La2PrSc: optimized geometry, PBE.

The structure in CIF format:
```
data_La2PrSc
_symmetry_space_group_name_H-M 'P 1'
_symmetry_Int_Tables_number 1
_cell_length_a 11.8002
_cell_length_b 11.8002
_cell_length_c 11.8002
_cell_angle_alpha 17.71
_cell_angle_beta 17.71
_cell_angle_gamma 17.71
loop_
_symmetry_equiv_pos_as_xyz
'x,y,z'
loop_
_atom_site_label
_atom_site_fract_x
_atom_site_fract_y
_atom_site_fract_z
La1 0.2448 0.2448 0.2448
La2 0.7552 0.7552 0.7552
Pr1 0.0000 0.0000 0.0000
Sc1 0.5000 0.5000 0.5000
```

Values from the calculation:
* E_form: 0.2 eV/f.u.
* distance to the lowest polymorph of the same formula: 0.016 eV per atom
* symmetry: R-3m

(12)
BaPa3Pd4S12: optimized geometry, PBE.

The structure in CIF format:
```
data_BaPa3Pd4S12
_symmetry_space_group_name_H-M 'P 1'
_symmetry_Int_Tables_number 1
_cell_length_a 8.5252
_cell_length_b 8.5252
_cell_length_c 8.5252
_cell_angle_alpha 103.75
_cell_angle_beta 103.75
_cell_angle_gamma 103.75
loop_
_symmetry_equiv_pos_as_xyz
'x,y,z'
loop_
_atom_site_label
_atom_site_fract_x
_atom_site_fract_y
_atom_site_fract_z
Ba1 0.0000 0.0000 0.0000
Pa1 0.0000 0.5663 0.4337
Pa2 0.4337 0.0000 0.5663
Pa3 0.5663 0.4337 0.0000
Pd1 0.0835 0.5000 0.9165
Pd2 0.5000 0.5000 0.5000
Pd3 0.5000 0.9165 0.0835
Pd4 0.9165 0.0835 0.5000
S1 0.0047 0.2544 0.3476
S2 0.0879 0.9121 0.5000
S3 0.2544 0.3476 0.0047
S4 0.3300 0.6700 0.5000
S5 0.3476 0.0047 0.2544
S6 0.5000 0.0879 0.9121
S7 0.5000 0.3300 0.6700
S8 0.6524 0.7456 0.9953
S9 0.6700 0.5000 0.3300
S10 0.7456 0.9953 0.6524
S11 0.9121 0.5000 0.0879
S12 0.9953 0.6524 0.7456
```

Values from the calculation:
* final energy: -5.894 eV per atom
* symmetry: R32

(13)
PmThC: optimized geometry, PBE.

The structure in CIF format:
```
data_PmThC
_symmetry_space_group_name_H-M 'P 1'
_symmetry_Int_Tables_number 1
_cell_length_a 3.6692
_cell_length_b 3.6692
_cell_length_c 6.8158
_cell_angle_alpha 105.69
_cell_angle_beta 105.69
_cell_angle_gamma 60.03
loop_
_symmetry_equiv_pos_as_xyz
'x,y,z'
loop_
_atom_site_label
_atom_site_fract_x
_atom_site_fract_y
_atom_site_fract_z
Pm1 0.0000 0.0000 0.0000
Th1 0.5198 0.5198 0.5616
C1 0.2574 0.2574 0.7733
```

Values from the calculation:
* E_form: -0.6 eV/f.u.
* distance to the lowest polymorph of the same formula: 0.000 eV per atom
* symmetry: Cm